A geometry-optimized PuZn2Pd8 structure. Source: Alexandria, functional PBE.

a = 4.1355 Å, b = 6.3874 Å, c = 7.3270 Å
α = 107.30°, β = 106.39°, γ = 90.00°
With the nearest neighbours (Å) after each atom.
Fractional positions:
Pu: 0.5000 0.0000 0.0000  12 Pd 2.74-2.96
Zn: 0.2226 0.6516 0.4451  10 Pd 2.61-2.88
Zn: 0.7774 0.3484 0.5549  10 Pd 2.61-2.88
Pd: 0.6011 0.4717 0.2022  3 Zn 2.70-2.82, 8 Pd 2.77-2.97, 1 Pu 2.91
Pd: 0.3178 0.0736 0.6355  3 Zn 2.61-2.88, 1 Pu 2.74, 8 Pd 2.77-2.90
Pd: 0.1491 0.2147 0.2982  3 Zn 2.66-2.70, 6 Pd 2.79-2.90, 2 Pu 2.96
Pd: 0.0444 0.7260 0.0888  1 Zn 2.69, 9 Pd 2.77-3.01, 2 Pu 2.90
Pd: 0.8509 0.7853 0.7018  3 Zn 2.66-2.70, 6 Pd 2.79-2.90, 2 Pu 2.96
Pd: 0.6822 0.9264 0.3645  3 Zn 2.61-2.88, 1 Pu 2.74, 8 Pd 2.77-2.90
Pd: 0.3989 0.5283 0.7978  3 Zn 2.70-2.82, 8 Pd 2.77-2.97, 1 Pu 2.91
Pd: 0.9556 0.2740 0.9112  1 Zn 2.69, 9 Pd 2.77-3.01, 2 Pu 2.90

Results
**Total DFT energy (no corrections)**: -5.719 eV per atom
**Theoretical density**: 11.5 Mg/m³
**Space group**: No. 12

***

A geometry-optimized Pm2Pr6Ho structure. Source: Alexandria, functional PBE.

a = 8.3462 Å, b = 8.3462 Å, c = 10.6358 Å
α = 90.00°, β = 90.00°, γ = 90.00°
With the nearest neighbours (Å) after each atom.
Fractional positions:
Pm: 0.0000 0.0000 0.3315  6 Pr 3.09-3.34
Pm: 0.5000 0.5000 0.8315  6 Pr 3.09-3.34
Pm: 0.5000 0.5000 0.1685  6 Pr 3.09-3.34
Pm: 0.0000 0.0000 0.6685  6 Pr 3.09-3.34
Pr: 0.2620 0.2620 0.3331  2 Pm 3.09-3.31, 1 Ho 3.32
Pr: 0.7380 0.7380 0.3331  2 Pm 3.09-3.31, 1 Ho 3.32
Pr: 0.2380 0.7620 0.8331  2 Pm 3.09-3.31, 1 Ho 3.32
Pr: 0.7620 0.2380 0.8331  2 Pm 3.09-3.31, 1 Ho 3.32
Pr: 0.2380 0.7620 0.1669  2 Pm 3.09-3.31, 1 Ho 3.32
Pr: 0.7620 0.2380 0.1669  2 Pm 3.09-3.31, 1 Ho 3.32
Pr: 0.2620 0.2620 0.6669  2 Pm 3.09-3.31, 1 Ho 3.32
Pr: 0.7380 0.7380 0.6669  2 Pm 3.09-3.31, 1 Ho 3.32
Pr: 0.2613 0.2613 0.0000  1 Ho 3.08, 2 Pm 3.34
Pr: 0.7387 0.7387 0.0000  1 Ho 3.08, 2 Pm 3.34
Pr: 0.2387 0.7613 0.5000  1 Ho 3.08, 2 Pm 3.34
Pr: 0.7613 0.2387 0.5000  1 Ho 3.08, 2 Pm 3.34
Ho: 0.0000 0.0000 0.0000  6 Pr 3.08-3.32
Ho: 0.5000 0.5000 0.5000  6 Pr 3.08-3.32

Results
**Theoretical density**: 5.8 Mg/m³
**Space group**: No. 136
**E above lowest polymorph**: 455.0 meV per atom

***

A geometry-optimized LiMg4Pd2Pt structure. Source: Alexandria, functional PBE.

a = 4.5324 Å, b = 4.5324 Å, c = 7.8578 Å
α = 73.24°, β = 73.24°, γ = 60.00°
With the nearest neighbours (Å) after each atom.
Fractional positions:
Li: 0.0000 0.0000 0.0000  8 Mg 2.80-2.85
Mg: 0.3777 0.3777 0.8670  1 Pt 2.72, 4 Pd 2.74-2.79, 3 Li 2.80
Mg: 0.8716 0.8716 0.3851  4 Pd 2.75-2.82, 3 Pt 2.75, 1 Li 2.85
Mg: 0.1284 0.1284 0.6149  4 Pd 2.75-2.82, 3 Pt 2.75, 1 Li 2.85
Mg: 0.6223 0.6223 0.1330  1 Pt 2.72, 4 Pd 2.74-2.79, 3 Li 2.80
Pd: 0.7479 0.7479 0.7564  8 Mg 2.74-2.82
Pd: 0.2521 0.2521 0.2436  8 Mg 2.74-2.82
Pt: 0.5000 0.5000 0.5000  8 Mg 2.72-2.75

Results
**Total DFT energy (no corrections)**: -3.738 eV per atom
**Theoretical density**: 6.5 Mg/m³
**Space group**: No. 166

***

A geometry-optimized Tm2SbTe structure. Source: Alexandria, functional PBE.

a = 6.1003 Å, b = 6.1002 Å, c = 12.2759 Å
α = 90.00°, β = 90.00°, γ = 90.00°
With the nearest neighbours (Å) after each atom.
Fractional positions:
Tm: 0.7493 0.0008 0.8692  3 Sb 3.00-3.05, 3 Te 3.05-3.14
Tm: 0.2507 0.9992 0.1308  3 Sb 3.00-3.05, 3 Te 3.05-3.14
Tm: 0.7493 0.4992 0.6308  3 Sb 3.00-3.05, 3 Te 3.05-3.14
Tm: 0.2507 0.5008 0.3692  3 Sb 3.00-3.05, 3 Te 3.05-3.14
Tm: 0.7500 0.5009 0.1194  3 Sb 3.00-3.05, 3 Te 3.05-3.14
Tm: 0.2500 0.4991 0.8806  3 Sb 3.00-3.05, 3 Te 3.05-3.14
Tm: 0.7500 0.9991 0.3806  3 Sb 3.00-3.05, 3 Te 3.05-3.14
Tm: 0.2500 0.0009 0.6194  3 Sb 3.00-3.05, 3 Te 3.05-3.14
Sb: 0.2501 0.0004 0.3751  6 Tm 3.00-3.05
Sb: 0.7499 0.9996 0.6249  6 Tm 3.00-3.05
Sb: 0.2501 0.4996 0.1249  6 Tm 3.00-3.05
Sb: 0.7499 0.5004 0.8751  6 Tm 3.00-3.05
Te: 0.2494 0.5002 0.6250  6 Tm 3.05-3.14
Te: 0.7506 0.4998 0.3750  6 Tm 3.05-3.14
Te: 0.2494 0.9998 0.8750  6 Tm 3.05-3.14
Te: 0.7506 0.0002 0.1250  6 Tm 3.05-3.14

Results
**Raw formation energy**: -1166 meV/atom
**Theoretical density**: 8.5 Mg/m³
**Space group**: No. 12
**E above lowest polymorph**: 4.7 meV per atom

***

A geometry-optimized Mn2CrP structure. Source: Alexandria, functional PBE.

a = 3.7922 Å, b = 2.6178 Å, c = 4.6195 Å
α = 75.07°, β = 90.00°, γ = 90.00°
With the nearest neighbours (Å) after each atom.
Fractional positions:
Cr: 0.5000 0.7509 0.7328  4 Mn 2.29-2.54, 4 P 2.49-2.53
Mn: 0.0000 0.0374 0.0198  2 P 2.28-2.52, 2 Mn 2.42, 2 Cr 2.54
Mn: 0.5000 0.3758 0.2379  2 P 2.26, 2 Cr 2.29-2.44, 2 Mn 2.42
P: 0.0000 0.3359 0.5095  4 Mn 2.26-2.52, 2 Cr 2.49

Results
**Total DFT energy (no corrections)**: -8.464 eV per atom
**Theoretical density**: 7.2 Mg/m³
**Space group**: No. 6

***

A geometry-optimized TePd8Se2 structure. Source: Alexandria, functional PBE.

a = 4.5260 Å, b = 6.7274 Å, c = 6.7274 Å
α = 108.82°, β = 97.30°, γ = 97.30°
With the nearest neighbours (Å) after each atom.
Fractional positions:
Te: 0.9999 0.9970 0.9970  4 Pd 2.65-2.72
Pd: 0.4287 0.9429 0.6794  2 Se 2.57-2.71, 2 Pd 2.84-2.85
Pd: 0.4287 0.6794 0.9429  2 Se 2.57-2.71, 2 Pd 2.84-2.85
Pd: 0.8985 0.6506 0.6506  2 Se 2.59, 1 Te 2.65, 3 Pd 2.76-2.85
Pd: 0.0001 0.2459 0.7480  2 Se 2.48, 1 Te 2.72
Pd: 0.0001 0.7480 0.2459  2 Se 2.48, 1 Te 2.72
Pd: 0.1016 0.3434 0.3434  2 Se 2.59, 1 Te 2.65, 3 Pd 2.76-2.85
Pd: 0.5714 0.3143 0.0508  2 Se 2.57-2.71, 2 Pd 2.84-2.85
Pd: 0.5714 0.0508 0.3143  2 Se 2.57-2.71, 2 Pd 2.84-2.85
Se: 0.5000 0.6543 0.3394  8 Pd 2.48-2.71
Se: 0.5000 0.3394 0.6543  8 Pd 2.48-2.71

Results
**Raw formation energy**: -173 meV/atom
**Theoretical density**: 10.0 Mg/m³
**Space group**: No. 12
**E above lowest polymorph**: 10.8 meV per atom

***

A geometry-optimized La3PrH8 structure. Source: Alexandria, functional PBE.

a = 5.6118 Å, b = 5.6118 Å, c = 6.8640 Å
α = 114.13°, β = 114.13°, γ = 90.00°
With the nearest neighbours (Å) after each atom.
Fractional positions:
La: 0.7500 0.2500 0.5000  8 H 2.44
La: 0.5000 0.5000 0.0000  8 H 2.43
La: 0.2500 0.7500 0.5000  8 H 2.44
Pr: 0.0000 0.0000 0.0000  8 H 2.41
H: 0.3715 0.3715 0.2474  1 Pr 2.41, 3 La 2.43-2.44
H: 0.3715 0.8759 0.2474  1 Pr 2.41, 3 La 2.43-2.44
H: 0.1241 0.6285 0.7526  1 Pr 2.41, 3 La 2.43-2.44
H: 0.1241 0.1241 0.7526  1 Pr 2.41, 3 La 2.43-2.44
H: 0.8759 0.8759 0.2474  1 Pr 2.41, 3 La 2.43-2.44
H: 0.8759 0.3715 0.2474  1 Pr 2.41, 3 La 2.43-2.44
H: 0.6285 0.1241 0.7526  1 Pr 2.41, 3 La 2.43-2.44
H: 0.6285 0.6285 0.7526  1 Pr 2.41, 3 La 2.43-2.44

Results
**Total DFT energy (no corrections)**: -4.510 eV per atom
**Theoretical density**: 5.3 Mg/m³
**Space group**: No. 139

***

A geometry-optimized Mg6GaAu12 structure. Source: Alexandria, functional PBE.

a = 7.0743 Å, b = 7.0743 Å, c = 7.0743 Å
α = 92.94°, β = 92.94°, γ = 92.94°
With the nearest neighbours (Å) after each atom.
Fractional positions:
Mg: 0.7030 0.8823 0.2740  8 Au 2.80-3.03, 1 Ga 3.04
Mg: 0.7260 0.2970 0.1177  8 Au 2.80-3.03, 1 Ga 3.04
Mg: 0.1177 0.7260 0.2970  8 Au 2.80-3.03, 1 Ga 3.04
Mg: 0.2970 0.1177 0.7260  8 Au 2.80-3.03, 1 Ga 3.04
Mg: 0.2740 0.7030 0.8823  8 Au 2.80-3.03, 1 Ga 3.04
Mg: 0.8823 0.2740 0.7030  8 Au 2.80-3.03, 1 Ga 3.04
Ga: 0.0000 0.0000 0.0000  6 Au 2.65
Au: 0.7967 0.5462 0.4417  4 Mg 2.80-2.83, 4 Au 2.81-3.06
Au: 0.4417 0.7967 0.5462  4 Mg 2.80-2.83, 4 Au 2.81-3.06
Au: 0.5462 0.4417 0.7967  4 Mg 2.80-2.83, 4 Au 2.81-3.06
Au: 0.2033 0.4538 0.5583  4 Mg 2.80-2.83, 4 Au 2.81-3.06
Au: 0.5583 0.2033 0.4538  4 Mg 2.80-2.83, 4 Au 2.81-3.06
Au: 0.4538 0.5583 0.2033  4 Mg 2.80-2.83, 4 Au 2.81-3.06
Au: 0.0229 0.1365 0.3572  1 Ga 2.65, 2 Au 2.81-2.88, 3 Mg 2.83-2.94
Au: 0.8635 0.6428 0.9771  1 Ga 2.65, 2 Au 2.81-2.88, 3 Mg 2.83-2.94
Au: 0.6428 0.9771 0.8635  1 Ga 2.65, 2 Au 2.81-2.88, 3 Mg 2.83-2.94
Au: 0.9771 0.8635 0.6428  1 Ga 2.65, 2 Au 2.81-2.88, 3 Mg 2.83-2.94
Au: 0.1365 0.3572 0.0229  1 Ga 2.65, 2 Au 2.81-2.88, 3 Mg 2.83-2.94
Au: 0.3572 0.0229 0.1365  1 Ga 2.65, 2 Au 2.81-2.88, 3 Mg 2.83-2.94

Results
**Total DFT energy (no corrections)**: -3.131 eV per atom
**Theoretical density**: 12.1 Mg/m³
**Space group**: No. 148

***

A geometry-optimized Nd2PBr structure. Source: Alexandria, functional PBE.

a = 4.1031 Å, b = 4.1031 Å, c = 7.8822 Å
α = 74.91°, β = 74.91°, γ = 60.00°
With the nearest neighbours (Å) after each atom.
Fractional positions:
Nd: 0.0678 0.0678 0.7966  3 P 2.81
Nd: 0.2655 0.2655 0.2035  3 P 2.83
P: 0.6679 0.6679 0.9964  6 Nd 2.81-2.83
Br: 0.4988 0.4988 0.5035  6 Nd 3.24-3.27

Results
**Raw formation energy**: -1493 meV/atom
**Theoretical density**: 6.1 Mg/m³
**Space group**: No. 160

***

A geometry-optimized Ho2TmTc structure. Source: Alexandria, functional PBE.

a = 3.4514 Å, b = 3.4514 Å, c = 8.6712 Å
α = 90.00°, β = 90.00°, γ = 90.00°
With the nearest neighbours (Å) after each atom.
Fractional positions:
Tm: 0.5000 0.5000 0.5000  4 Tm 3.45, 8 Ho 3.64
Ho: 0.0000 0.0000 0.8120  4 Tc 2.93, 1 Ho 3.26
Ho: 0.0000 0.0000 0.1880  4 Tc 2.93, 1 Ho 3.26
Tc: 0.5000 0.5000 0.0000  8 Ho 2.93

Results
**Theoretical density**: 9.6 Mg/m³
**Space group**: No. 123
**E above lowest polymorph**: 142.5 meV per atom

***

A geometry-optimized DyNbH structure. Source: Alexandria, functional PBE.

a = 3.5437 Å, b = 3.5437 Å, c = 8.2508 Å
α = 90.00°, β = 90.00°, γ = 90.00°
With the nearest neighbours (Å) after each atom.
Fractional positions:
H: 0.5000 0.5000 0.0000  4 Dy 2.24, 4 H 2.51
H: 0.0000 0.0000 0.0000  4 Dy 2.24, 4 H 2.51
Nb: 0.5000 0.0000 0.5670  4 Nb 2.74
Nb: 0.0000 0.5000 0.4330  4 Nb 2.74
Dy: 0.5000 0.0000 0.1670  4 H 2.24
Dy: 0.0000 0.5000 0.8330  4 H 2.24

Results
**Total DFT energy (no corrections)**: -6.232 eV per atom
**Theoretical density**: 8.2 Mg/m³
**Space group**: No. 129